Computed, not measured: crystalline LiZrFeAs at its relaxed geometry at the GGA-PBE level of DFT.

Properties
* polymorph energy (0 for the lowest one): 217 meV/atom
* calculated density: 6010 kg/m3

Structure (POSCAR):
```
LiZrFeAs
1.0
6.325 0.000 0.000
0.000 6.325 0.000
0.000 0.000 6.325
Li Zr Fe As
4 4 4 4
direct
0.000 0.000 0.000
0.000 0.500 0.500
0.500 0.000 0.500
0.500 0.500 0.000
0.000 0.000 0.500
0.000 0.500 0.000
0.500 0.000 0.000
0.500 0.500 0.500
0.250 0.250 0.250
0.250 0.750 0.750
0.750 0.250 0.750
0.750 0.750 0.250
0.250 0.250 0.750
0.250 0.750 0.250
0.750 0.250 0.250
0.750 0.750 0.750
```



Computed, not measured: crystalline Lu2FeAs at its relaxed geometry at the GGA-PBE level of DFT.

Properties
* E: -86.9 eV for the cell shown
* calculated density: 10939 kg/m3

Structure (POSCAR):
```
Lu2FeAs
1.0
6.633 0.000 0.000
0.000 6.633 0.000
0.000 0.000 6.633
Lu Fe As
8 4 4
direct
0.000 0.000 0.000
0.000 0.500 0.500
0.250 0.250 0.250
0.250 0.750 0.750
0.500 0.000 0.500
0.500 0.500 0.000
0.750 0.250 0.750
0.750 0.750 0.250
0.250 0.250 0.750
0.250 0.750 0.250
0.750 0.250 0.250
0.750 0.750 0.750
0.000 0.000 0.500
0.000 0.500 0.000
0.500 0.000 0.000
0.500 0.500 0.500
```



Computed, not measured: crystalline LuFeAs2 at its relaxed geometry at the GGA-PBE level of DFT.

Properties
* E: -88.7 eV for the cell shown
* calculated density: 8855 kg/m3

Structure (POSCAR):
```
LuFeAs2
1.0
6.585 0.000 0.000
0.000 6.585 0.000
0.000 0.000 6.585
Lu Fe As
4 4 8
direct
0.000 0.000 0.000
0.000 0.500 0.500
0.500 0.000 0.500
0.500 0.500 0.000
0.250 0.250 0.250
0.250 0.750 0.750
0.750 0.250 0.750
0.750 0.750 0.250
0.000 0.000 0.500
0.000 0.500 0.000
0.250 0.250 0.750
0.250 0.750 0.250
0.500 0.000 0.000
0.500 0.500 0.500
0.750 0.250 0.250
0.750 0.750 0.750
```